# LiNbSi2Pd GGA-PBE optimized geometry
# Spin magnetization   0.000 μB per formula unit
# ΔE_f (raw)   0.5927 eV/atom
data_LiNbSi2Pd
_cell_length_a 4.895
_cell_length_b 4.895
_cell_length_c 4.914
_cell_angle_alpha 90.00
_cell_angle_beta 90.00
_cell_angle_gamma 90.00
_symmetry_space_group_name_H-M 'P 4/m m m'
_symmetry_Int_Tables_number 123
_symmetry_space_group_name_Hall '-P 4 2'
loop_
_atom_site_label
_atom_site_type_symbol
_atom_site_fract_x
_atom_site_fract_y
_atom_site_fract_z
Li1 Li 0.000 0.000 0.000
Nb1 Nb 0.500 0.500 0.500
Si1 Si 0.000 0.500 0.500
Pd1 Pd 0.500 0.500 0.000